No. 1
AlZn2Ag | GGA-PBEsol | optimized geometry

Calculated density, g cm⁻³: 7.227
Formation energy, meV per atom: -21
Space-group type: No. 166

a b c (Å): 2.857 2.857 8.794
angles (deg): 80.65 80.65 60.00
Positions (direct):
Zn: 0.250 0.250 0.249
Zn: 0.750 0.750 0.751
Al: 0.000 0.000 0.000
Ag: 0.500 0.500 0.500

---

No. 2
Al2ZnAg | GGA-PBEsol | optimized geometry

Calculated density, g cm⁻³: 5.952
Formation energy, meV per atom: 7
Space-group type: No. 139

a b c (Å): 4.015 4.015 4.850
angles (deg): 114.45 114.45 90.00
Positions (direct):
Zn: 0.500 0.500 0.000
Al: 0.750 0.250 0.500
Al: 0.250 0.750 0.500
Ag: 0.000 0.000 0.000

---

No. 3
AlZn2Ag | GGA-PBEsol | optimized geometry

Calculated density, g cm⁻³: 7.239
Formation energy, meV per atom: -20
Space-group type: No. 160

a b c (Å): 2.852 2.852 8.806
angles (deg): 80.68 80.68 60.00
Positions (direct):
Zn: 0.001 0.001 0.996
Zn: 0.748 0.748 0.755
Al: 0.251 0.251 0.247
Ag: 0.499 0.499 0.502

---

- Which of these has the highest formation energy?
  Al2ZnAg